Record 1
Pr2YTl2: relaxed, PBE-GGA.

CIF file:
```
data_Pr2YTl2
_chemical_formula_sum 'Pr4 Y2 Tl4'
_space_group_name_H-M_alt 'P 4/m b m'
_space_group_IT_number 127
_space_group_name_Hall '-P 4 2ab'
_cell_length_a 8.2667
_cell_length_b 8.2667
_cell_length_c 4.6580
_cell_angle_alpha 90.00
_cell_angle_beta 90.00
_cell_angle_gamma 90.00
loop_
_atom_site_label
_atom_site_type_symbol
_atom_site_fract_x
_atom_site_fract_y
_atom_site_fract_z
Pr1 Pr 0.1707 0.3293 0.0000
Y1 Y 0.0000 0.0000 0.5000
Tl1 Tl 0.1310 0.6310 0.5000
```

Properties
* calculated formation energy: -0.331 eV per atom
* offset from the most stable computed form: 0.000 eV/atom
* theoretical density: 8.1 Mg/m³
* total DFT energy (no corrections): -22.413 eV per formula unit

Record 2
HfCu3Br: relaxed, PBE-GGA.

CIF file:
```
data_HfCu3Br
_chemical_formula_sum 'Hf1 Cu3 Br1'
_space_group_name_H-M_alt 'P m -3 m'
_space_group_IT_number 221
_space_group_name_Hall '-P 4 2 3'
_cell_length_a 4.6006
_cell_length_b 4.6006
_cell_length_c 4.6006
_cell_angle_alpha 90.00
_cell_angle_beta 90.00
_cell_angle_gamma 90.00
loop_
_atom_site_label
_atom_site_type_symbol
_atom_site_fract_x
_atom_site_fract_y
_atom_site_fract_z
Hf1 Hf 0.0000 0.0000 0.0000
Cu1 Cu 0.0000 0.5000 0.5000
Br1 Br 0.5000 0.5000 0.5000
```

Properties
* offset from the most stable computed form: 0.000 eV/atom
* formation energy without anion corrections: 1.0984 eV per atom
* theoretical density: 7.7 Mg/m³
* total DFT energy (no corrections): -18.423 eV per formula unit

Record 3
NbTeHPdICl: relaxed, PBE-GGA.

CIF file:
```
data_NbTeHPdICl
_chemical_formula_sum 'Nb2 Te2 H2 Pd2 I2 Cl2'
_space_group_name_H-M_alt 'C 1 m 1'
_space_group_IT_number 8
_cell_length_a 14.1386
_cell_length_b 3.7347
_cell_length_c 5.8465
_cell_angle_alpha 90.00
_cell_angle_beta 112.79
_cell_angle_gamma 90.00
loop_
_space_group_symop_operation_xyz
'x,y,z'
'x,-y,z'
'x+1/2,y+1/2,z'
'x+1/2,-y+1/2,z'
loop_
_atom_site_label
_atom_site_type_symbol
_atom_site_fract_x
_atom_site_fract_y
_atom_site_fract_z
Nb1 Nb 0.0000 0.0000 0.0000
Te1 Te 0.3848 0.0000 0.6499
H1 H 0.3852 0.5000 0.1486
Pd1 Pd 0.3886 0.0000 0.1502
I1 I 0.1120 0.5000 0.3831
Cl1 Cl 0.1445 0.0000 0.8962
```

Properties
* offset from the most stable computed form: 0.018 eV/atom
* theoretical density: 5.7 Mg/m³
* total DFT energy (no corrections): -27.294 eV per formula unit

Record 4
MgAsPtO6: relaxed, PBE-GGA.

CIF file:
```
data_MgAsPtO6
_chemical_formula_sum 'Mg2 As2 Pt2 O12'
_space_group_name_H-M_alt 'P -3 1 c'
_space_group_IT_number 163
_space_group_name_Hall '-P 3 2c'
_cell_length_a 5.0511
_cell_length_b 5.0511
_cell_length_c 8.9375
_cell_angle_alpha 90.00
_cell_angle_beta 90.00
_cell_angle_gamma 120.00
loop_
_atom_site_label
_atom_site_type_symbol
_atom_site_fract_x
_atom_site_fract_y
_atom_site_fract_z
Mg1 Mg 0.0000 0.0000 0.0000
As1 As 0.3333 0.6667 0.2500
Pt1 Pt 0.3333 0.6667 0.7500
O1 O 0.0193 0.3622 0.1347
```

Properties
* formation energy without anion corrections: -1.2453 eV per atom
* theoretical density: 6.6 Mg/m³
* total DFT energy (no corrections): -53.242 eV per formula unit

Record 5
KSiTe2: relaxed, PBE-GGA.

CIF file:
```
data_KSiTe2
_chemical_formula_sum 'K4 Si4 Te8'
_space_group_name_H-M_alt 'F m -3 m'
_space_group_IT_number 225
_space_group_name_Hall '-F 4 2 3'
_cell_length_a 7.7350
_cell_length_b 7.7350
_cell_length_c 7.7350
_cell_angle_alpha 90.00
_cell_angle_beta 90.00
_cell_angle_gamma 90.00
loop_
_atom_site_label
_atom_site_type_symbol
_atom_site_fract_x
_atom_site_fract_y
_atom_site_fract_z
K1 K 0.0000 0.0000 0.0000
Si1 Si 0.0000 0.0000 0.5000
Te1 Te 0.2500 0.2500 0.2500
```

Properties
* formation energy without anion corrections: 0.1087 eV per atom
* theoretical density: 4.6 Mg/m³
* total DFT energy (no corrections): -12.369 eV per formula unit

Record 6
Pm5GaPb6: relaxed, PBE-GGA.

CIF file:
```
data_Pm5GaPb6
_chemical_formula_sum 'Pm10 Ga2 Pb12'
_space_group_name_H-M_alt 'I m m m'
_space_group_IT_number 71
_space_group_name_Hall '-I 2 2'
_cell_length_a 4.7882
_cell_length_b 9.4408
_cell_length_c 15.3929
_cell_angle_alpha 90.00
_cell_angle_beta 90.00
_cell_angle_gamma 90.00
loop_
_atom_site_label
_atom_site_type_symbol
_atom_site_fract_x
_atom_site_fract_y
_atom_site_fract_z
Pm1 Pm 0.0000 0.0000 0.0000
Pm2 Pm 0.0000 0.0000 0.3605
Pm3 Pm 0.0000 0.5000 0.3271
Ga1 Ga 0.0000 0.5000 0.0000
Pb1 Pb 0.0000 0.2481 0.1684
Pb2 Pb 0.0000 0.2622 0.5000
```

Properties
* calculated formation energy: -0.468 eV per atom
* theoretical density: 9.7 Mg/m³
* total DFT energy (no corrections): -54.646 eV per formula unit

Record 7
MnFeHg2: relaxed, PBE-GGA.

CIF file:
```
data_MnFeHg2
_chemical_formula_sum 'Mn1 Fe1 Hg2'
_space_group_name_H-M_alt 'P m m 2'
_space_group_IT_number 25
_cell_length_a 3.0499
_cell_length_b 3.2282
_cell_length_c 7.1515
_cell_angle_alpha 90.00
_cell_angle_beta 90.00
_cell_angle_gamma 90.00
loop_
_space_group_symop_operation_xyz
'x,y,z'
'-x,-y,z'
'-x,y,z'
'x,-y,z'
loop_
_atom_site_label
_atom_site_type_symbol
_atom_site_fract_x
_atom_site_fract_y
_atom_site_fract_z
Mn1 Mn 0.0000 0.0000 0.0000
Fe1 Fe 0.5000 0.5000 0.1812
Hg1 Hg 0.0000 0.0000 0.4247
Hg2 Hg 0.5000 0.5000 0.7465
```

Properties
* calculated formation energy: 0.362 eV per atom
* offset from the most stable computed form: 0.000 eV/atom
* theoretical density: 12.1 Mg/m³
* total DFT energy (no corrections): -16.787 eV per formula unit

Record 8
V3H4: relaxed, PBE-GGA.

CIF file:
```
data_V3H4
_chemical_formula_sum 'V6 H8'
_space_group_name_H-M_alt 'C 1 2/m 1'
_space_group_IT_number 12
_cell_length_a 8.8200
_cell_length_b 2.8786
_cell_length_c 4.3424
_cell_angle_alpha 90.00
_cell_angle_beta 115.07
_cell_angle_gamma 90.00
loop_
_space_group_symop_operation_xyz
'x,y,z'
'-x,-y,-z'
'-x,y,-z'
'x,-y,z'
'x+1/2,y+1/2,z'
'-x+1/2,-y+1/2,-z'
'-x+1/2,y+1/2,-z'
'x+1/2,-y+1/2,z'
loop_
_atom_site_label
_atom_site_type_symbol
_atom_site_fract_x
_atom_site_fract_y
_atom_site_fract_z
V1 V 0.0000 0.0000 0.0000
V2 V 0.1592 0.5000 0.6770
H1 H 0.1562 0.0000 0.4275
H2 H 0.1559 0.5000 0.0866
```

Properties
* offset from the most stable computed form: 0.000 eV/atom
* theoretical density: 5.2 Mg/m³
* total DFT energy (no corrections): -41.635 eV per formula unit

Question: Which value of theoretical density does entry 7 give?
Answer: 12.1 Mg/m³